Entry 1:
{
  "formula": "Hf3Ni7Ge2",
  "functional": "PBE",
  "state": "optimized geometry",
  "lattice_angstrom": [[-0.0504, 0.9416, -4.1015], [-3.9957, -0.6817, -0.1074], [0.2633, 10.1494, 2.3269]],
  "species": ["Ge", "Ge", "Ni", "Ni", "Ni", "Ni", "Ni", "Ni", "Ni", "Hf", "Hf", "Hf"],
  "frac_coords": [[0.0000, 0.1507, 0.3014], [0.0000, 0.8493, 0.6986], [0.5000, 0.0839, 0.1678], [0.0000, 0.0000, 0.0000], [0.0000, 0.4207, 0.8413], [0.5000, 0.9161, 0.8322], [0.0000, 0.2748, 0.5496], [0.0000, 0.7252, 0.4504], [0.0000, 0.5793, 0.1587], [0.5000, 0.3352, 0.6704], [0.5000, 0.5000, 0.0000], [0.5000, 0.6648, 0.3296]],
  "sg": "Cmmm, No. 65",
  "delta_e_f_ev_per_atom": -0.32
}

***

Entry 2:
{
  "formula": "Ac2LaIrPt",
  "functional": "PBE",
  "state": "optimized geometry",
  "lattice_angstrom": [[4.4031, 0.0000, 0.0000], [0.0000, 4.4031, 0.0000], [0.0000, 0.0000, 15.3187]],
  "species": ["Ac", "Ac", "Ac", "Ac", "Ir", "Ir", "Pt", "Pt", "La", "La"],
  "frac_coords": [[0.0000, 0.5000, 0.7134], [0.5000, 0.0000, 0.9010], [0.0000, 0.5000, 0.0990], [0.5000, 0.0000, 0.2866], [0.0000, 0.5000, 0.8965], [0.5000, 0.0000, 0.1035], [0.0000, 0.5000, 0.3483], [0.5000, 0.0000, 0.6517], [0.0000, 0.0000, 0.5000], [0.5000, 0.5000, 0.5000]],
  "sg": "P4/nmm, No. 129",
  "delta_e_f_ev_per_atom": -0.67
}

***

Entry 3:
{
  "formula": "CsTiH3",
  "functional": "PBE",
  "state": "optimized geometry",
  "lattice_angstrom": [[-0.1846, -1.5236, -3.9084], [-3.8553, -1.4805, 0.7592], [-1.6535, 3.6219, -1.3338]],
  "species": ["Ti", "H", "H", "H", "Cs"],
  "frac_coords": [[0.0000, 0.0000, 0.0000], [0.0000, 0.0000, 0.5000], [0.0000, 0.5000, 0.0000], [0.5000, 0.0000, 0.0000], [0.5000, 0.5000, 0.5000]],
  "sg": "Pm-3m, No. 221",
  "e_tot_ev_per_atom": -3.701
}